First-principles (PBE) data for a geometry-optimized Nd2NpNi3Pt12 structure, as listed in Alexandria via LeMat-Bulk.

extended XYZ file:
```
18
Lattice="8.140 0.110 0.078 4.116 7.024 0.078 4.116 2.396 6.603" Properties=species:S:1:pos:R:3 pbc="T T T"
Ni 2.058 3.512 0.039
Ni 2.058 1.198 3.302
Ni 4.070 0.055 0.039
Nd 10.042 5.845 4.146
Nd 6.331 3.685 2.614
Pt 4.096 4.559 0.930
Pt 10.138 3.576 2.537
Pt 8.257 2.481 4.223
Pt 6.235 5.954 4.223
Pt 12.277 7.146 2.765
Pt 8.116 4.724 5.814
Pt 10.386 8.220 5.830
Pt 5.987 1.311 0.930
Pt 8.257 4.806 0.946
Pt 4.096 2.384 3.995
Pt 8.116 7.049 2.537
Pt 12.277 4.972 5.830
Np 0.000 0.000 0.000
```

Results
Calculated total energy, Ry per atom: -0.465
Formation enthalpy at 0 K, meV per atom: -82
Density, g cm⁻³: 13.597

First-principles (PBE) data for a geometry-optimized Nd2NpNiS5 structure, as listed in Alexandria via LeMat-Bulk.

extended XYZ file:
```
18
Lattice="3.862 0.000 0.000 -1.931 8.236 0.000 0.000 0.000 11.941" Properties=species:S:1:pos:R:3 pbc="T T T"
S 0.000 0.315 0.103
S 1.931 3.042 10.333
S 0.000 4.981 8.221
S 1.931 2.575 6.219
S 0.000 5.661 0.249
S 0.000 5.194 4.363
S 1.931 7.921 6.074
S 1.931 0.082 2.991
S 1.931 3.255 2.250
S 0.000 8.154 8.962
Nd 0.000 1.876 4.152
Nd 0.000 1.915 8.306
Nd 1.931 6.360 10.123
Nd 1.931 6.321 2.335
Ni 1.931 0.867 10.989
Ni 0.000 7.369 5.019
Np 1.931 5.306 6.288
Np 0.000 2.930 0.317
```

Results
Formation energy without anion corrections, eV/atom: -1.562
Calculated total energy, Ry per atom: -0.514
Density, g cm⁻³: 6.510